Density functional theory data (GGA+U) for crystalline NbCoCO2 at its relaxed geometry.

a b c (Å): 3.801 3.801 5.755
angles (deg): 90.00 90.00 90.00
Space group P4/mmm (No. 123)
Asymmetric unit:
Nb: 0.000 0.000 0.000
Co: 0.000 0.000 0.500
C: 0.500 0.500 0.500
O: 0.000 0.500 0.000

The value obtained for the volume is 83 Å³ per cell. For the total energy, the calculation gives -32.41 eV per formula unit.